Record 1
The following is a DFT calculation (GGA-PBE) of a relaxed structure of TiIrO4.

a b c (Å): 6.598 6.598 6.030
angles (deg): 90.00 90.00 90.00
Space group I4_1md (No. 109)
Inequivalent atoms, fractional coordinates:
Ti  0.000  0.000  0.000 (multiplicity 4)
Ir  0.000  0.000  0.491 (multiplicity 4)
O  0.000  0.199  0.234 (multiplicity 8)
O  0.000  0.200  0.748 (multiplicity 8)

The density comes out at 7.7 g cm⁻³. The formation energy from raw total energies comes out at -1.83 eV per atom. The value obtained for the total energy is -7.930 eV/atom. For the density of states at the Fermi level, the calculation gives 12.693 states/eV per cell. As for the crystal system: tetragonal.

Record 2
The following is a DFT calculation (GGA-PBE) of a relaxed structure of TiIrO3.

a b c (Å): 3.838 3.838 3.838
angles (deg): 90.00 90.00 90.00
Space group Pm-3m (No. 221)
Inequivalent atoms, fractional coordinates:
Ti  0.000  0.000  0.000 (multiplicity 1)
Ir  0.500  0.500  0.500 (multiplicity 1)
O  0.000  0.000  0.500 (multiplicity 3)

The density comes out at 8.5 g cm⁻³. The formation energy from raw total energies comes out at -0.93 eV per atom. The value obtained for the total energy is -7.260 eV/atom. For the density of states at the Fermi level, the calculation gives 3.167 states/eV per cell. As for the crystal system: cubic.

Question: What is the formula in the second record?
Answer: TiIrO3